Density functional theory data (PBE-GGA) for a geometry-optimized La2HoTe2Se2 structure.

Computed properties:
uncorrected energy = -5.479 eV per atom
formation energy (no corrections) = -1.524 eV/atom
DOS at the Fermi energy = 3.16 states/eV/cell
theoretical density = 6.222 Mg/m³

Unit cell a=5.304 b=5.304 c=8.944 alpha=107.25 beta=107.25 gamma=90.00
Fractional positions:
Te 0.185 0.185 0.369
Te 0.815 0.815 0.631
Ho 0.000 0.000 0.000
La 0.619 0.619 0.238
La 0.381 0.381 0.762
Se 0.500 0.000 0.000
Se 0.000 0.500 0.000